# 1
DFT (PBE) results for a relaxed BaSc crystal.

POSCAR file:
```
BaSc
1.0
-10.6793 -1.3625 -2.2177
-1.8305 -10.3698 15.1852
-1.3951 5.3084 3.4568
Ba Sc
16 16
direct
0.3365 0.0000 0.0000
0.6635 0.0000 0.0000
0.9135 0.7500 0.2500
0.5865 0.7500 0.2500
0.3365 0.5000 0.5000
0.6635 0.5000 0.5000
0.9135 0.2500 0.7500
0.5865 0.2500 0.7500
0.8365 0.0000 0.5000
0.1635 0.0000 0.5000
0.4135 0.7500 0.7500
0.0865 0.7500 0.7500
0.8365 0.5000 0.0000
0.1635 0.5000 0.0000
0.4135 0.2500 0.2500
0.0865 0.2500 0.2500
0.0000 0.9196 0.0000
0.0000 0.0804 0.0000
0.2500 0.8304 0.2500
0.2500 0.6696 0.2500
0.0000 0.4196 0.5000
0.0000 0.5804 0.5000
0.2500 0.3304 0.7500
0.2500 0.1696 0.7500
0.5000 0.9196 0.5000
0.5000 0.0804 0.5000
0.7500 0.8304 0.7500
0.7500 0.6696 0.7500
0.5000 0.4196 0.0000
0.5000 0.5804 0.0000
0.7500 0.3304 0.2500
0.7500 0.1696 0.2500
```

Calculated values
offset from the most stable computed form: 267 meV per atom
space group: Fddd (70)
magnetization: 11.0 Bohr magnetons per cell
calculated formation energy: 0.50 eV per atom

***

# 2
DFT (PBE) results for a relaxed V5GaRe4 crystal.

POSCAR file:
```
V5GaRe4
1.0
-1.9382 -1.5394 -1.8047
1.2923 -2.6396 0.8637
-9.7268 -1.0510 11.3428
V Ga Re
5 1 4
direct
0.5000 0.5000 0.1023
0.5000 0.5000 0.2995
0.5000 0.5000 0.5000
0.5000 0.5000 0.7005
0.5000 0.5000 0.8977
0.0000 0.0000 0.0000
0.0000 0.0000 0.1963
0.0000 0.0000 0.3988
0.0000 0.0000 0.6012
0.0000 0.0000 0.8037
```

Calculated values
space group: P4/mmm (123)
magnetization: 1.0 Bohr magnetons per cell
calculated formation energy: -0.31 eV per atom

***

# 3
DFT (PBE) results for a relaxed Cd6AgHg5 crystal.

POSCAR file:
```
Cd6AgHg5
1.0
3.7809 0.0033 -1.0087
-3.0039 6.6401 -3.3738
1.0129 0.8679 10.3709
Hg Ag Cd
5 1 6
direct
0.5082 0.1659 0.8499
0.9839 0.3235 0.6622
0.5000 0.5000 0.5000
0.0161 0.6765 0.3378
0.4918 0.8341 0.1501
0.0000 0.0000 0.0000
0.2337 0.0825 0.4050
0.7470 0.5805 0.9132
0.7358 0.2485 0.2350
0.2642 0.7515 0.7650
0.2530 0.4195 0.0868
0.7663 0.9175 0.5950
```

Calculated values
space group: P-1 (2)
magnetization: 0.0 Bohr magnetons per cell
calculated formation energy: 0.02 eV per atom

***

# 4
DFT (PBE) results for a relaxed Cs2PmGe2O6 crystal.

POSCAR file:
```
Cs2PmGe2O6
1.0
6.2830 0.0000 0.0000
-3.1415 5.4378 -0.2123
0.0000 -3.3815 6.3648
Cs Pm Ge O
2 1 2 6
direct
0.7205 0.4410 0.1618
0.2795 0.5590 0.8382
0.5000 0.0000 0.5000
0.9273 0.8546 0.7813
0.0727 0.1454 0.2187
0.7493 0.4987 0.7190
0.2503 0.0286 0.2798
0.2217 0.9714 0.7202
0.7497 0.9714 0.7202
0.7783 0.0286 0.2798
0.2507 0.5013 0.2810
```

Calculated values
energy relative to the elements, uncorrected: -1.993 eV per atom
space group: R-3m (166)
magnetization: 0.9 Bohr magnetons per cell